Compound: EuMnO3
Source: the Alexandria database
Functional: PBE+U
Structure: optimized geometry

```
20
Lattice="5.489 0.000 0.000 0.000 5.553 0.000 0.000 0.000 7.756" Properties=species:S:1:pos:R:3 pbc="T T T"
Eu 0.038 5.330 5.817
Eu 2.783 3.000 1.939
Eu 2.707 2.553 5.817
Eu 5.451 0.224 1.939
Mn 2.745 0.000 3.878
Mn 0.000 2.777 3.878
Mn 0.000 2.777 0.000
Mn 2.745 0.000 0.000
O 3.893 1.617 3.577
O 1.149 1.160 4.179
O 4.341 4.394 0.301
O 1.596 3.936 7.455
O 1.596 3.936 4.179
O 4.341 4.394 3.577
O 1.149 1.160 7.455
O 3.893 1.617 0.301
O 0.409 2.676 1.939
O 3.154 0.101 5.817
O 2.336 5.452 1.939
O 5.080 2.877 5.817
```

## Properties
For the electronic total energy, the calculation gives -8.760 eV per atom. Its space group is Pnma.